VASP calculation (GGA+U) on a relaxed LiNiSO4 crystal.

Cell: 5.537 5.800 5.800 Å, 66.16 61.49 61.49°
Each line ends with the local moment (μB).
Fractional positions:
Li  0.000  0.000  0.000  0.00
Li  0.000  0.500  0.500  0.00
Ni  0.500  0.000  0.500  0.98
Ni  0.000  0.000  0.500  0.98
S  0.615  0.635  0.135  0.00
S  0.385  0.365  0.865  0.00
O  0.721  0.722  0.837  0.01
O  0.279  0.663  0.778  0.01
O  0.721  0.337  0.222  0.01
O  0.279  0.278  0.163  0.01
O  0.282  0.745  0.245  0.00
O  0.729  0.745  0.245  0.00
O  0.271  0.255  0.755  0.00
O  0.718  0.255  0.755  0.00

DFT total energy = -74.70 eV per cell
SG = No. 74
V = 10.0 Å³ per atom
D(E_F) = 0.0 states/eV/f.u.